Record 1
{"formula": "NbPdPt2Rh2", "functional": "PBE", "state": "optimized geometry", "lattice_angstrom": [[5.4408, 0.0000, 0.0000], [0.0000, 5.2429, 0.3419], [0.0000, -1.4439, 6.5671]], "species": ["Rh", "Pd", "Nb", "Nb", "Pd", "Rh", "Pt", "Pt", "Rh", "Pt", "Rh", "Pt"], "frac_coords": [[0.7500, 0.9871, 0.4899], [0.7500, 0.6606, 0.1320], [0.2500, 0.7296, 0.1775], [0.7500, 0.2704, 0.8225], [0.2500, 0.3394, 0.8680], [0.2500, 0.5102, 0.4888], [0.5037, 0.1905, 0.1859], [0.4963, 0.8095, 0.8141], [0.2500, 0.0129, 0.5101], [0.0037, 0.8095, 0.8141], [0.7500, 0.4898, 0.5112], [0.9963, 0.1905, 0.1859]], "dos_at_fermi_per_ev_cell": 13.2, "rho_kg_m3": 13900, "space_group": "No. 11", "delta_e_f_mev_per_atom": -221, "e_tot_ev_per_fu": -43.4, "m_tot_mub_per_cell": 0.002}

Record 2
{"formula": "Ga5IrPd", "functional": "PBE", "state": "optimized geometry", "lattice_angstrom": [[-2.4853, 5.8851, -1.2641], [-4.0280, 2.0028, 4.7089], [3.8712, 6.6564, 5.3264]], "species": ["Ga", "Ga", "Ga", "Ga", "Ga", "Ir", "Pd", "Ir", "Pd", "Ga", "Ga", "Ga", "Ga", "Ga"], "frac_coords": [[0.2244, 0.2729, 0.8751], [0.3234, 0.6652, 0.4587], [0.7271, 0.7756, 0.6249], [0.6652, 0.3234, 0.9587], [0.9168, 0.0832, 0.2500], [0.0000, 0.0000, 0.5000], [0.5545, 0.4455, 0.2500], [0.0000, 0.0000, 0.0000], [0.4455, 0.5545, 0.7500], [0.3348, 0.6766, 0.0413], [0.0832, 0.9168, 0.7500], [0.6766, 0.3348, 0.5413], [0.7756, 0.7271, 0.1249], [0.2729, 0.2244, 0.3751]], "dos_at_fermi_per_ev_cell": 4.0, "rho_kg_m3": 6541, "space_group": "No. 15", "delta_e_f_mev_per_atom": -201, "e_tot_ev_per_fu": -30.6, "m_tot_mub_per_cell": 0.000}

Record 3
{"formula": "LaSm2GaO", "functional": "PBE", "state": "optimized geometry", "lattice_angstrom": [[-0.2317, -4.9410, -0.5130], [0.5486, 0.4735, -4.8081], [4.8260, -0.2806, 0.5230]], "species": ["Ga", "La", "O", "Sm", "Sm"], "frac_coords": [[0.5000, 0.5000, 0.5000], [0.5000, 0.0000, 0.0000], [0.0000, 0.0000, 0.0000], [0.0000, 0.5000, 0.0000], [0.0000, 0.0000, 0.5000]], "dos_at_fermi_per_ev_cell": 1.9, "rho_kg_m3": 7420, "e_form_raw_ev_per_atom": -1.3814, "space_group": "No. 123", "e_tot_ev_per_fu": -29.3, "m_tot_mub_per_cell": 0.000}

Record 4
{"formula": "HoTmBeIr", "functional": "PBE", "state": "optimized geometry", "lattice_angstrom": [[-3.0110, -0.9983, -3.5992], [-4.1108, -2.3108, 0.8824], [-4.1815, 2.3267, -0.3448]], "species": ["Ir", "Be", "Ho", "Tm"], "frac_coords": [[0.0000, 0.0000, 0.0000], [0.5000, 0.5000, 0.5000], [0.7500, 0.7500, 0.7500], [0.2500, 0.2500, 0.2500]], "dos_at_fermi_per_ev_cell": 2.5, "rho_kg_m3": 11379, "space_group": "No. 216", "delta_e_f_mev_per_atom": -453, "e_tot_ev_per_fu": -23.4, "m_tot_mub_per_cell": 0.000}

Record 5
{"formula": "HoMg2InPd4", "functional": "PBE", "state": "optimized geometry", "lattice_angstrom": [[-2.5073, -2.1023, 3.3386], [-4.0734, -2.0310, -1.0653], [1.4249, -7.9045, -0.6346]], "species": ["Ho", "Mg", "Pd", "Pd", "In", "Pd", "Mg", "Pd"], "frac_coords": [[0.0000, 0.0000, 0.0000], [0.2475, 0.2475, 0.2576], [0.3788, 0.3788, 0.8636], [0.1257, 0.1257, 0.6229], [0.5000, 0.5000, 0.5000], [0.8743, 0.8743, 0.3771], [0.7525, 0.7525, 0.7424], [0.6212, 0.6212, 0.1364]], "dos_at_fermi_per_ev_cell": 3.7, "rho_kg_m3": 8715, "space_group": "No. 166", "delta_e_f_mev_per_atom": -736, "e_tot_ev_per_fu": -37.2, "m_tot_mub_per_cell": 0.000}

Record 6
{"formula": "Ce3FeSb", "functional": "PBE", "state": "optimized geometry", "lattice_angstrom": [[-0.0963, -2.5506, 3.9210], [2.3082, -5.9745, -3.8297], [5.6941, 4.7783, 3.2482]], "species": ["Ce", "Ce", "Ce", "Fe", "Ce", "Ce", "Sb", "Sb", "Ce", "Fe"], "frac_coords": [[0.5000, 0.5000, 0.5000], [0.5000, 0.0000, 0.5000], [0.5000, 0.6830, 0.0000], [0.5000, 0.1026, 0.2052], [0.0000, 0.8818, 0.7635], [0.5000, 0.3170, 0.0000], [0.0000, 0.3571, 0.7142], [0.0000, 0.6429, 0.2858], [0.0000, 0.1182, 0.2365], [0.5000, 0.8974, 0.7948]], "dos_at_fermi_per_ev_cell": 22.2, "rho_kg_m3": 7896, "e_form_raw_ev_per_atom": -0.5007, "space_group": "No. 65", "e_tot_ev_per_fu": -32.9, "e_above_lowest_polymorph_ev_per_atom": 0.0000, "m_tot_mub_per_cell": 2.882}

Record 7
{"formula": "P2S2O", "functional": "PBE", "state": "optimized geometry", "lattice_angstrom": [[-0.2827, -3.4725, -2.4529], [2.7841, 1.7067, -2.7370], [3.5808, -1.9886, 2.4024]], "species": ["P", "P", "S", "S", "O"], "frac_coords": [[0.0000, 0.0000, 0.0000], [0.0000, 0.0000, 0.5000], [0.0000, 0.5000, 0.0000], [0.5000, 0.0000, 0.0000], [0.5000, 0.5000, 0.5000]], "dos_at_fermi_per_ev_cell": 5.8, "rho_kg_m3": 2737, "e_form_raw_ev_per_atom": 1.2011, "space_group": "No. 123", "e_tot_ev_per_fu": -18.0, "m_tot_mub_per_cell": 0.000}

Record 8
{"formula": "Ba4RhI2O", "functional": "PBE", "state": "optimized geometry", "lattice_angstrom": [[4.5001, 0.0000, 0.0000], [0.0000, 7.5100, 0.1547], [0.0000, -2.6220, 8.4174]], "species": ["O", "Rh", "Ba", "Ba", "I", "Ba", "Ba", "I"], "frac_coords": [[0.0000, 0.0000, 0.0000], [0.5000, 0.5000, 0.0000], [0.0000, 0.2362, 0.8143], [0.5000, 0.2279, 0.1842], [0.5000, 0.0000, 0.5000], [0.5000, 0.7721, 0.8158], [0.0000, 0.7638, 0.1857], [0.0000, 0.5000, 0.5000]], "dos_at_fermi_per_ev_cell": 2.7, "rho_kg_m3": 5348, "e_form_raw_ev_per_atom": -1.3334, "space_group": "No. 10", "e_tot_ev_per_fu": -33.8, "m_tot_mub_per_cell": 0.000}

Record 9
{"formula": "LiDy2ScSe4", "functional": "PBE", "state": "optimized geometry", "lattice_angstrom": [[3.9836, 0.0000, 0.0000], [0.0000, 6.9371, 0.1400], [0.0000, -2.4054, 6.4151]], "species": ["Li", "Se", "Se", "Se", "Sc", "Dy", "Se", "Dy"], "frac_coords": [[0.5000, 0.5000, 0.0000], [0.0000, 0.7449, 0.2354], [0.0000, 0.2551, 0.7646], [0.5000, 0.2471, 0.2340], [0.0000, 0.0000, 0.0000], [0.5000, 0.0000, 0.5000], [0.5000, 0.7529, 0.7660], [0.0000, 0.5000, 0.5000]], "dos_at_fermi_per_ev_cell": 2.9, "rho_kg_m3": 6440, "e_form_raw_ev_per_atom": -1.6983, "space_group": "No. 10", "e_tot_ev_per_fu": -45.0, "m_tot_mub_per_cell": 0.000}

Record 10
{"formula": "Pr4AlSn4", "functional": "PBE", "state": "optimized geometry", "lattice_angstrom": [[-0.8043, -5.2869, 3.4605], [6.0173, -2.2301, 3.8537], [-2.3892, 1.1122, 7.0062]], "species": ["Pr", "Al", "Sn", "Pr", "Pr", "Sn", "Sn", "Sn", "Pr"], "frac_coords": [[0.7776, 0.6407, 0.8041], [0.0000, 0.0000, 0.0000], [0.9181, 0.7977, 0.3661], [0.5817, 0.1959, 0.6407], [0.4183, 0.8041, 0.3593], [0.7158, 0.3661, 0.2023], [0.2842, 0.6339, 0.7977], [0.0819, 0.2023, 0.6339], [0.2224, 0.3593, 0.1959]], "dos_at_fermi_per_ev_cell": 6.8, "rho_kg_m3": 6053, "space_group": "No. 87", "delta_e_f_mev_per_atom": -301, "e_tot_ev_per_fu": -41.6, "m_tot_mub_per_cell": 0.000}

Record 11
{"formula": "Ho3Hf", "functional": "PBE", "state": "optimized geometry", "lattice_angstrom": [[3.4678, 0.0000, 0.0000], [0.0000, 6.0555, 0.0000], [-1.7339, -3.0278, 5.4285]], "species": ["Ho", "Ho", "Hf", "Ho"], "frac_coords": [[0.7420, 0.0773, 0.4840], [0.2580, 0.5933, 0.5160], [0.0000, 0.0032, 0.0000], [0.5000, 0.4929, 0.0000]], "dos_at_fermi_per_ev_cell": 7.1, "rho_kg_m3": 9808, "space_group": "No. 44", "delta_e_f_mev_per_atom": 104, "e_tot_ev_per_fu": -23.3, "e_above_lowest_polymorph_ev_per_atom": 0.0000, "m_tot_mub_per_cell": 0.004}

Record 12
{"formula": "SrLiTi2", "functional": "PBE", "state": "optimized geometry", "lattice_angstrom": [[2.2585, -3.6919, -2.6819], [-2.7634, -3.8516, -1.8581], [-0.8108, -0.3651, -5.0133]], "species": ["Ti", "Li", "Ti", "Sr"], "frac_coords": [[0.7500, 0.7500, 0.7500], [0.0000, 0.0000, 0.0000], [0.2500, 0.2500, 0.2500], [0.5000, 0.5000, 0.5000]], "dos_at_fermi_per_ev_cell": 8.2, "rho_kg_m3": 3386, "space_group": "No. 225", "delta_e_f_mev_per_atom": 955, "e_tot_ev_per_fu": -15.6, "e_above_lowest_polymorph_ev_per_atom": 0.1835, "m_tot_mub_per_cell": 1.771}

> Number 1 is which compound?

NbPdPt2Rh2